## SiIrW2O (GGA+U)

Data for a relaxed SiIrW2O crystal.

The structure in POSCAR format:
```
SiIrW2O
1.0
-1.9072 4.8768 0.8377
0.1721 -0.5516 3.6027
4.9419 1.9226 0.0582
W Ir O Si
2 1 1 1
Direct
0.5000 0.0000 0.0000
0.0000 0.0000 0.5000
0.0000 0.0000 0.0000
0.0000 0.5000 0.0000
0.5000 0.5000 0.5000
```

ρ ... 9.774 g cm⁻³
Energy ... -28.0 eV/cell